(1)
Density functional theory data (PBE) for crystalline TiCSe2N at its relaxed geometry.

a = 5.5053 Å, b = 5.5053 Å, c = 2.5503 Å
α = 90.00°, β = 90.00°, γ = 90.00°
Atoms (fractional coordinates):
Ti (0.0000, 0.0000, 0.0000)
C (0.5000, 0.5000, 0.5000)
Se (0.0000, 0.5000, 0.5000)
Se (0.5000, 0.0000, 0.5000)
N (0.5000, 0.5000, 0.0000)

* raw formation energy: 0.6295 eV/atom
* polymorph energy (0 for the lowest one): 0.0 meV/atom
* E_tot: -29.266 eV/cell



(2)
Density functional theory data (PBE) for crystalline Cr2TcPd at its relaxed geometry.

a = 3.0997 Å, b = 3.0997 Å, c = 5.9276 Å
α = 90.00°, β = 90.00°, γ = 90.00°
Atoms (fractional coordinates):
Cr (0.0000, 0.0000, 0.2376)
Cr (0.0000, 0.0000, 0.7624)
Tc (0.5000, 0.5000, 0.0000)
Pd (0.5000, 0.5000, 0.5000)

* E_form: 0.53 eV per formula unit
* E_tot: -34.277 eV/cell



(3)
Density functional theory data (PBE) for crystalline TbMgSnH at its relaxed geometry.

a = 4.3119 Å, b = 4.3119 Å, c = 8.3146 Å
α = 90.00°, β = 90.00°, γ = 90.00°
Atoms (fractional coordinates):
Tb (0.2500, 0.2500, 0.1199)
Tb (0.7500, 0.7500, 0.8801)
Mg (0.2500, 0.7500, 0.5000)
Mg (0.7500, 0.2500, 0.5000)
Sn (0.2500, 0.2500, 0.7323)
Sn (0.7500, 0.7500, 0.2677)
H (0.2500, 0.7500, 0.0000)
H (0.7500, 0.2500, 0.0000)

* E_tot: -31.341 eV/cell



(4)
Density functional theory data (PBE) for crystalline Ge3As5Au12 at its relaxed geometry.

a = 13.1875 Å, b = 13.1875 Å, c = 13.1875 Å
α = 109.47°, β = 109.47°, γ = 109.47°
Atoms (fractional coordinates):
Ge (0.1250, 0.2500, 0.3750)
Ge (0.1250, 0.3750, 0.7500)
Ge (0.2500, 0.3750, 0.1250)
Ge (0.2500, 0.8750, 0.6250)
Ge (0.3750, 0.1250, 0.2500)
Ge (0.3750, 0.7500, 0.1250)
Ge (0.6250, 0.2500, 0.8750)
Ge (0.6250, 0.8750, 0.7500)
Ge (0.7500, 0.1250, 0.3750)
Ge (0.7500, 0.6250, 0.8750)
Ge (0.8750, 0.6250, 0.2500)
Ge (0.8750, 0.7500, 0.6250)
As (0.0000, 0.0000, 0.0000)
As (0.0000, 0.0000, 0.5000)
As (0.0000, 0.5000, 0.0000)
As (0.0000, 0.5000, 0.5000)
As (0.1250, 0.7500, 0.8750)
As (0.1250, 0.8750, 0.2500)
As (0.2500, 0.1250, 0.8750)
As (0.2500, 0.6250, 0.3750)
As (0.3750, 0.2500, 0.6250)
As (0.3750, 0.6250, 0.7500)
As (0.5000, 0.0000, 0.0000)
As (0.5000, 0.0000, 0.5000)
As (0.5000, 0.5000, 0.0000)
As (0.5000, 0.5000, 0.5000)
As (0.6250, 0.3750, 0.2500)
As (0.6250, 0.7500, 0.3750)
As (0.7500, 0.3750, 0.6250)
As (0.7500, 0.8750, 0.1250)
As (0.8750, 0.1250, 0.7500)
As (0.8750, 0.2500, 0.1250)
Au (0.0600, 0.2311, 0.1292)
Au (0.0600, 0.3289, 0.9308)
Au (0.0692, 0.6292, 0.3981)
Au (0.0692, 0.9400, 0.6711)
Au (0.1019, 0.7311, 0.6711)
Au (0.1019, 0.8708, 0.4308)
Au (0.1292, 0.0600, 0.2311)
Au (0.1292, 0.5692, 0.8981)
Au (0.1711, 0.2311, 0.6019)
Au (0.1711, 0.4400, 0.5692)
Au (0.2311, 0.1292, 0.0600)
Au (0.2311, 0.6019, 0.1711)
Au (0.2689, 0.3289, 0.8981)
Au (0.2689, 0.4400, 0.3708)
Au (0.3289, 0.8981, 0.2689)
Au (0.3289, 0.9308, 0.0600)
Au (0.3708, 0.2689, 0.4400)
Au (0.3708, 0.6019, 0.9308)
Au (0.3981, 0.0692, 0.6292)
Au (0.3981, 0.8289, 0.7689)
Au (0.4308, 0.1019, 0.8708)
Au (0.4308, 0.8289, 0.5600)
Au (0.4400, 0.3708, 0.2689)
Au (0.4400, 0.5692, 0.1711)
Au (0.5600, 0.4308, 0.8289)
Au (0.5600, 0.6292, 0.7311)
Au (0.5692, 0.1711, 0.4400)
Au (0.5692, 0.8981, 0.1292)
Au (0.6019, 0.1711, 0.2311)
Au (0.6019, 0.9308, 0.3708)
Au (0.6292, 0.3981, 0.0692)
Au (0.6292, 0.7311, 0.5600)
Au (0.6711, 0.0692, 0.9400)
Au (0.6711, 0.1019, 0.7311)
Au (0.7311, 0.5600, 0.6292)
Au (0.7311, 0.6711, 0.1019)
Au (0.7689, 0.3981, 0.8289)
Au (0.7689, 0.8708, 0.9400)
Au (0.8289, 0.5600, 0.4308)
Au (0.8289, 0.7689, 0.3981)
Au (0.8708, 0.4308, 0.1019)
Au (0.8708, 0.9400, 0.7689)
Au (0.8981, 0.1292, 0.5692)
Au (0.8981, 0.2689, 0.3289)
Au (0.9308, 0.0600, 0.3289)
Au (0.9308, 0.3708, 0.6019)
Au (0.9400, 0.6711, 0.0692)
Au (0.9400, 0.7689, 0.8708)

* E_form: 2.97 eV per formula unit
* E_tot: -293.820 eV/cell



(5)
Density functional theory data (PBE) for crystalline MnCo3C at its relaxed geometry.

a = 4.1252 Å, b = 4.1252 Å, c = 4.1252 Å
α = 90.00°, β = 90.00°, γ = 90.00°
Atoms (fractional coordinates):
Mn (0.0000, 0.0000, 0.0000)
Co (0.0000, 0.0000, 0.5000)
Co (0.0000, 0.5000, 0.0000)
Co (0.5000, 0.0000, 0.0000)
C (0.5000, 0.5000, 0.5000)

* E_form: 11.89 eV per formula unit
* E_tot: -27.822 eV/cell



(6)
Density functional theory data (PBE) for crystalline AlIn2S4 at its relaxed geometry.

a = 10.6701 Å, b = 10.6701 Å, c = 7.7203 Å
α = 90.00°, β = 90.00°, γ = 90.00°
Atoms (fractional coordinates):
Al (0.0000, 0.5000, 0.2500)
Al (0.0000, 0.5000, 0.7500)
Al (0.5000, 0.0000, 0.2500)
Al (0.5000, 0.0000, 0.7500)
In (0.1971, 0.1984, 0.0000)
In (0.1984, 0.8029, 0.5000)
In (0.3016, 0.3029, 0.5000)
In (0.3029, 0.6984, 0.0000)
In (0.6971, 0.3016, 0.0000)
In (0.6984, 0.6971, 0.5000)
In (0.8016, 0.1971, 0.5000)
In (0.8029, 0.8016, 0.0000)
S (0.0848, 0.6192, 0.0000)
S (0.1192, 0.5848, 0.5000)
S (0.1615, 0.3385, 0.2500)
S (0.1615, 0.3385, 0.7500)
S (0.3385, 0.8385, 0.2500)
S (0.3385, 0.8385, 0.7500)
S (0.3808, 0.0848, 0.5000)
S (0.4152, 0.1192, 0.0000)
S (0.5848, 0.8808, 0.0000)
S (0.6192, 0.9152, 0.5000)
S (0.6615, 0.1615, 0.2500)
S (0.6615, 0.1615, 0.7500)
S (0.8385, 0.6615, 0.2500)
S (0.8385, 0.6615, 0.7500)
S (0.8808, 0.4152, 0.5000)
S (0.9152, 0.3808, 0.0000)

* raw formation energy: -0.3989 eV/atom
* E_tot: -114.087 eV/cell



(7)
Density functional theory data (PBE) for crystalline Mn2NbH2 at its relaxed geometry.

a = 3.2325 Å, b = 3.2325 Å, c = 9.0214 Å
α = 90.00°, β = 90.00°, γ = 90.00°
Atoms (fractional coordinates):
Mn (0.0000, 0.0000, 0.1577)
Mn (0.0000, 0.0000, 0.8423)
Mn (0.5000, 0.5000, 0.3423)
Mn (0.5000, 0.5000, 0.6577)
Nb (0.0000, 0.0000, 0.5000)
Nb (0.5000, 0.5000, 0.0000)
H (0.0000, 0.5000, 0.2500)
H (0.0000, 0.5000, 0.7500)
H (0.5000, 0.0000, 0.2500)
H (0.5000, 0.0000, 0.7500)

* E_tot: -70.428 eV/cell



(8)
Density functional theory data (PBE) for crystalline Tm2In8Rh at its relaxed geometry.

a = 4.6336 Å, b = 4.6336 Å, c = 12.0889 Å
α = 90.00°, β = 90.00°, γ = 90.00°
Atoms (fractional coordinates):
Tm (0.0000, 0.0000, 0.1902)
Tm (0.0000, 0.0000, 0.8098)
In (0.0000, 0.5000, 0.0000)
In (0.0000, 0.5000, 0.3759)
In (0.0000, 0.5000, 0.6241)
In (0.5000, 0.0000, 0.0000)
In (0.5000, 0.0000, 0.3759)
In (0.5000, 0.0000, 0.6241)
In (0.5000, 0.5000, 0.1906)
In (0.5000, 0.5000, 0.8094)
Rh (0.0000, 0.0000, 0.5000)

* E_form: -4.05 eV per formula unit
* E_tot: -42.257 eV/cell



(9)
Density functional theory data (PBE) for crystalline Ta2TcIr at its relaxed geometry.

a = 3.4095 Å, b = 4.5311 Å, c = 8.4478 Å
α = 90.00°, β = 90.00°, γ = 90.00°
Atoms (fractional coordinates):
Ta (0.0000, 0.0000, 0.2470)
Ta (0.0000, 0.0000, 0.7530)
Ta (0.5000, 0.5000, 0.2470)
Ta (0.5000, 0.5000, 0.7530)
Tc (0.0000, 0.5000, 0.5000)
Tc (0.5000, 0.0000, 0.5000)
Ir (0.0000, 0.5000, 0.0000)
Ir (0.5000, 0.0000, 0.0000)

* E_form: -1.07 eV per formula unit
* E_tot: -87.995 eV/cell



(10)
Density functional theory data (PBE) for crystalline Ti7Sn2Pd2 at its relaxed geometry.

a = 5.4657 Å, b = 5.4657 Å, c = 7.0028 Å
α = 99.49°, β = 99.49°, γ = 103.40°
Atoms (fractional coordinates):
Ti (0.0000, 0.0000, 0.0000)
Ti (0.1028, 0.4797, 0.8299)
Ti (0.1209, 0.1209, 0.3858)
Ti (0.4797, 0.1028, 0.8299)
Ti (0.5203, 0.8972, 0.1701)
Ti (0.8791, 0.8791, 0.6142)
Ti (0.8972, 0.5203, 0.1701)
Sn (0.3058, 0.6942, 0.5000)
Sn (0.6942, 0.3058, 0.5000)
Pd (0.3958, 0.3958, 0.1558)
Pd (0.6042, 0.6042, 0.8442)

* E_form: -2.94 eV per formula unit
* E_tot: -76.595 eV/cell



Q: Which of these has the lowest E_tot?
A: Ge3As5Au12